1.
8
Lattice="-2.0989 2.0989 8.7038 2.0989 -2.0989 8.7038 2.0989 2.0989 -8.7038" Properties=species:S:1:pos:R:3 comment="ZrTiOs2 | Alexandria via LeMat-Bulk | PBE | relaxed" sg="I-42d (122)" crystal_system=tetragonal dft_energy_ev_per_atom=-9.2280 pbc="T T T"
Zr 0.0000 0.0000 0.0000
Zr 0.0000 2.0989 4.3519
Ti 2.0989 0.0000 4.3519
Ti 0.0000 0.0000 8.7038
Os 1.0494 -0.7200 6.5279
Os 1.3788 1.0494 2.1760
Os 1.0494 2.8189 -2.1760
Os 0.7200 1.0494 10.8798

=====

2.
4
Lattice="2.9444 0.0000 0.0000 0.0000 3.7632 0.0000 0.0000 0.0000 7.8462" Properties=species:S:1:pos:R:3 comment="CaScOs2 | Alexandria via LeMat-Bulk | PBE | relaxed" sg="Pmm2 (25)" crystal_system=orthorhombic e_above_lowest_polymorph_ev_per_fu=0.46 pbc="T T T"
Ca 0.0000 0.0000 0.0000
Sc 1.4722 1.8816 4.8366
Os 0.0000 0.0000 3.1639
Os 1.4722 1.8816 2.1779

=====

3.
16
Lattice="0.0000 7.1494 12.9426 2.9671 0.0000 12.9426 2.9671 7.1494 0.0000" Properties=species:S:1:pos:R:3 comment="K2VCuTe4 | Alexandria via LeMat-Bulk | PBE | relaxed" sg="Fddd (70)" crystal_system=orthorhombic e_form_raw_ev_per_atom=-0.588 pbc="T T T"
K 2.2253 5.3621 1.5398
K 3.7088 8.9368 8.0111
K 2.2253 5.3621 17.8741
K 3.7088 8.9368 24.3453
V 2.2253 5.3621 9.7069
V 3.7088 8.9368 16.1782
Cu 0.7418 1.7874 3.2356
Cu 5.1924 12.5115 22.6495
Te 2.2791 3.2366 4.7452
Te 3.6551 6.8113 11.2165
Te 2.1715 7.4875 4.7452
Te 2.1715 3.2366 14.6686
Te 3.7626 11.0622 11.2165
Te 3.7626 6.8113 21.1399
Te 2.2791 7.4875 14.6686
Te 3.6551 11.0622 21.1399

=====

4.
6
Lattice="0.0000 3.6601 3.6601 3.6601 0.0000 3.6601 3.6601 3.6601 0.0000" Properties=species:S:1:pos:R:3 comment="HfUV4 | Alexandria via LeMat-Bulk | PBE | relaxed" sg="F-43m (216)" crystal_system=cubic dft_energy_ev_per_atom=-9.4829 pbc="T T T"
Hf 0.0000 0.0000 0.0000
U 1.8300 1.8300 1.8300
V 4.5668 2.7533 2.7533
V 2.7533 4.5668 2.7533
V 2.7533 2.7533 4.5668
V 4.5668 4.5668 4.5668

=====

DOS at the Fermi energy (computed, states/eV/atom): 1.19; 1.07; 0.03; 1.74
Ρ (computed, g cm⁻³): 11.25; 8.89; 4.25; 10.50